Nb4SnB2As | PBE | optimized geometry

Results
E   -8.374 eV per atom
Volume   126.76 Å³ per cell

a = 3.3518 Å, b = 3.3518 Å, c = 13.0289 Å
α = 90.00°, β = 90.00°, γ = 120.00°
Space group P-6m2 (No. 187)
Asymmetric unit:
Nb  0.0000  0.0000  0.1393
Nb  0.3333  0.6667  0.3260
Sn  0.0000  0.0000  0.5000
B  0.6667  0.3333  0.2346
As  0.3333  0.6667  0.0000



NdB4As | PBE | optimized geometry

Results
E   -5.987 eV per atom
Volume   145.10 Å³ per cell

a = 3.2051 Å, b = 5.0773 Å, c = 8.9168 Å
α = 90.00°, β = 90.00°, γ = 90.00°
Space group Immm (No. 71)
Asymmetric unit:
Nd  0.0000  0.0000  0.0000
B  0.0000  0.3167  0.2660
As  0.0000  0.0000  0.5000



NdB4As | PBE | optimized geometry

Results
E   -5.815 eV per atom
Volume   69.86 Å³ per cell

a = 3.1901 Å, b = 3.1901 Å, c = 7.9269 Å
α = 90.00°, β = 90.00°, γ = 120.00°
Space group P6/mmm (No. 191)
Asymmetric unit:
Nd  0.0000  0.0000  0.0000
B  0.3333  0.6667  0.2681
As  0.0000  0.0000  0.5000



TbNd2Ni2B2As3 | PBE | optimized geometry

Results
E   -6.042 eV per atom
Volume   370.15 Å³ per cell

a = 4.0927 Å, b = 4.0927 Å, c = 22.0982 Å
α = 90.00°, β = 90.00°, γ = 90.00°
Space group I4/mmm (No. 139)
Asymmetric unit:
Tb  0.0000  0.0000  0.0000
Nd  0.0000  0.0000  0.3577
Ni  0.0000  0.5000  0.2500
B  0.0000  0.0000  0.2232
As  0.0000  0.0000  0.1286
As  0.0000  0.0000  0.5000



NdBAsO | PBE | optimized geometry

Results
E   -6.216 eV per atom
Volume   130.27 Å³ per cell

a = 5.0883 Å, b = 4.2251 Å, c = 6.0597 Å
α = 90.00°, β = 90.00°, γ = 90.00°
Space group Pmc2_1 (No. 26)
Asymmetric unit:
Nd  0.0000  0.2451  0.0000
B  0.5000  0.2404  0.3111
As  0.5000  0.2435  0.6714
O  0.0000  0.2570  0.3598



NdBAsO | PBE | optimized geometry

Results
E   -5.767 eV per atom
Volume   153.64 Å³ per cell

a = 5.8951 Å, b = 5.8951 Å, c = 4.4211 Å
α = 90.00°, β = 90.00°, γ = 90.00°
Space group P4/nmm (No. 129, origin choice 2)
Asymmetric unit:
Nd  0.2500  0.7500  0.0000
B  0.2500  0.2500  0.0843
As  0.2500  0.2500  0.6542
O  0.2500  0.7500  0.5000



NdBAsO | PBE | optimized geometry

Results
E   -6.541 eV per atom
Volume   124.56 Å³ per cell

a = 4.0965 Å, b = 4.0965 Å, c = 7.4226 Å
α = 90.00°, β = 90.00°, γ = 90.00°
Space group P4/nmm (No. 129, origin choice 2)
Asymmetric unit:
Nd  0.2500  0.2500  0.1564
B  0.2500  0.7500  0.5000
As  0.2500  0.2500  0.6137
O  0.2500  0.7500  0.0000



NdBAsO | PBE | optimized geometry

Results
E   -6.479 eV per atom
Volume   155.65 Å³ per cell

a = 4.1144 Å, b = 6.2320 Å, c = 6.0703 Å
α = 90.00°, β = 90.00°, γ = 90.00°
Space group Pmc2_1 (No. 26)
Asymmetric unit:
Nd  0.0000  0.2484  0.0000
B  0.5000  0.1337  0.4878
As  0.0000  0.2713  0.4980
O  0.5000  0.0830  0.9874



NiB2As | PBE | optimized geometry

Results
E   -4.615 eV per atom
Volume   173.88 Å³ per cell

a = 5.5815 Å, b = 5.5815 Å, c = 5.5815 Å
α = 90.00°, β = 90.00°, γ = 90.00°
Space group F-43m (No. 216)
Asymmetric unit:
Ni  0.0000  0.0000  0.0000
B  0.0000  0.0000  0.5000
B  0.2500  0.2500  0.7500
As  0.2500  0.2500  0.2500



NiBAs2 | PBE | optimized geometry

Results
E   -4.418 eV per atom
Volume   222.42 Å³ per cell

a = 6.0589 Å, b = 6.0589 Å, c = 6.0589 Å
α = 90.00°, β = 90.00°, γ = 90.00°
Space group F-43m (No. 216)
Asymmetric unit:
Ni  0.0000  0.0000  0.0000
B  0.2500  0.2500  0.7500
As  0.0000  0.0000  0.5000
As  0.2500  0.2500  0.2500



Ni6BAs2 | PBE | optimized geometry

Results
E   -5.782 eV per atom
Volume   100.77 Å³ per cell

a = 6.0921 Å, b = 6.0921 Å, c = 3.1351 Å
α = 90.00°, β = 90.00°, γ = 120.00°
Space group P-62m (No. 189)
Asymmetric unit:
Ni  0.0000  0.2396  0.0000
Ni  0.0000  0.6219  0.5000
B  0.0000  0.0000  0.5000
As  0.3333  0.6667  0.0000



Pr2SmNi2B2As3 | PBE | optimized geometry

Results
E   -6.038 eV per atom
Volume   380.11 Å³ per cell

a = 4.1330 Å, b = 4.1330 Å, c = 22.2528 Å
α = 90.00°, β = 90.00°, γ = 90.00°
Space group I4/mmm (No. 139)
Asymmetric unit:
Pr  0.0000  0.0000  0.1423
Sm  0.0000  0.0000  0.5000
Ni  0.0000  0.5000  0.2500
B  0.0000  0.0000  0.2764
As  0.0000  0.0000  0.0000
As  0.0000  0.0000  0.3705



Sm3Ni2B2As3 | PBE | optimized geometry

Results
E   -6.046 eV per atom
Volume   368.20 Å³ per cell

a = 4.0914 Å, b = 4.0914 Å, c = 21.9962 Å
α = 90.00°, β = 90.00°, γ = 90.00°
Space group I4/mmm (No. 139)
Asymmetric unit:
Sm  0.0000  0.0000  0.0000
Sm  0.0000  0.0000  0.3603
Ni  0.0000  0.5000  0.2500
B  0.0000  0.0000  0.2257
As  0.0000  0.0000  0.1308
As  0.0000  0.0000  0.5000



TbSmNi2B2As2 | PBE | optimized geometry

Results
E   -6.029 eV per atom
Volume   129.32 Å³ per cell

a = 3.9864 Å, b = 3.9864 Å, c = 8.1377 Å
α = 90.00°, β = 90.00°, γ = 90.00°
Space group P4mm (No. 99)
Asymmetric unit:
Tb  0.0000  0.0000  0.0000
Sm  0.5000  0.5000  0.4450
Ni  0.0000  0.5000  0.7240
B  0.0000  0.0000  0.6353
B  0.5000  0.5000  0.8071
As  0.0000  0.0000  0.3746
As  0.5000  0.5000  0.0657



Tb3Ni2B2As3 | PBE | optimized geometry

Results
E   -6.036 eV per atom
Volume   355.80 Å³ per cell

a = 4.0331 Å, b = 4.0331 Å, c = 21.8736 Å
α = 90.00°, β = 90.00°, γ = 90.00°
Space group I4/mmm (No. 139)
Asymmetric unit:
Tb  0.0000  0.0000  0.0000
Tb  0.0000  0.0000  0.3578
Ni  0.0000  0.5000  0.2500
B  0.0000  0.0000  0.2246
As  0.0000  0.0000  0.1292
As  0.0000  0.0000  0.5000



YTmNi2B2As2 | PBE | optimized geometry

Results
E   -6.231 eV per atom
Volume   125.44 Å³ per cell

a = 3.8987 Å, b = 3.8987 Å, c = 8.2525 Å
α = 90.00°, β = 90.00°, γ = 90.00°
Space group P4mm (No. 99)
Asymmetric unit:
Y  0.0000  0.0000  0.0000
Tm  0.5000  0.5000  0.5393
Ni  0.0000  0.5000  0.2720
B  0.0000  0.0000  0.3631
B  0.5000  0.5000  0.1777
As  0.0000  0.0000  0.6196
As  0.5000  0.5000  0.9192



BAsOsO | PBE | optimized geometry

Results
E   -7.044 eV per atom
Volume   99.06 Å³ per cell

a = 2.6617 Å, b = 6.7174 Å, c = 5.5403 Å
α = 90.00°, β = 90.00°, γ = 90.00°
Space group Pmc2_1 (No. 26)
Asymmetric unit:
B  0.0000  0.1205  0.0000
As  0.0000  0.1802  0.3710
Os  0.5000  0.4767  0.4058
O  0.5000  0.1981  0.9034



BAsOsO | PBE | optimized geometry

Results
E   -7.261 eV per atom
Volume   108.90 Å³ per cell

a = 2.9279 Å, b = 8.5419 Å, c = 4.3545 Å
α = 90.00°, β = 90.00°, γ = 90.00°
Space group Pmc2_1 (No. 26)
Asymmetric unit:
B  0.0000  0.0775  0.0000
As  0.5000  0.2628  0.8851
Os  0.5000  0.4387  0.4106
O  0.0000  0.0525  0.3132



BAsOsO | PBE | optimized geometry

Results
E   -6.115 eV per atom
Volume   94.71 Å³ per cell

a = 3.1322 Å, b = 3.1322 Å, c = 9.6538 Å
α = 90.00°, β = 90.00°, γ = 90.00°
Space group P4/nmm (No. 129, origin choice 2)
Asymmetric unit:
B  0.2500  0.7500  0.0000
As  0.2500  0.2500  0.1795
Os  0.2500  0.2500  0.6402
O  0.2500  0.7500  0.5000



BAsOsO | PBE | optimized geometry

Results
E   -6.668 eV per atom
Volume   111.07 Å³ per cell

a = 3.6756 Å, b = 3.6756 Å, c = 8.2215 Å
α = 90.00°, β = 90.00°, γ = 90.00°
Space group P4/nmm (No. 129, origin choice 2)
Asymmetric unit:
B  0.2500  0.2500  0.0512
As  0.2500  0.2500  0.3037
Os  0.2500  0.7500  0.5000
O  0.2500  0.7500  0.0000



PaBAsO | PBE | optimized geometry

Results
E   -6.512 eV per atom
Volume   118.40 Å³ per cell

a = 5.2020 Å, b = 5.2020 Å, c = 4.3754 Å
α = 90.00°, β = 90.00°, γ = 90.00°
Space group P4/nmm (No. 129, origin choice 2)
Asymmetric unit:
Pa  0.2500  0.7500  0.0000
B  0.2500  0.2500  0.1155
As  0.2500  0.2500  0.6372
O  0.2500  0.7500  0.5000



PaBAsO | PBE | optimized geometry

Results
E   -7.106 eV per atom
Volume   118.22 Å³ per cell

a = 4.1065 Å, b = 4.1065 Å, c = 7.0102 Å
α = 90.00°, β = 90.00°, γ = 90.00°
Space group P4/nmm (No. 129, origin choice 2)
Asymmetric unit:
Pa  0.2500  0.2500  0.1852
B  0.2500  0.7500  0.5000
As  0.2500  0.2500  0.6098
O  0.2500  0.7500  0.0000



PaBAsO | PBE | optimized geometry

Results
E   -6.800 eV per atom
Volume   119.56 Å³ per cell

a = 4.1383 Å, b = 4.1291 Å, c = 6.9969 Å
α = 90.00°, β = 90.00°, γ = 90.00°
Space group Pmc2_1 (No. 26)
Asymmetric unit:
Pa  0.0000  0.2370  0.0000
B  0.5000  0.2908  0.3381
As  0.5000  0.2598  0.6590
O  0.0000  0.2664  0.3343



BAsPdO | PBE | optimized geometry

Results
E   -5.948 eV per atom
Volume   103.82 Å³ per cell

a = 2.6123 Å, b = 6.8586 Å, c = 5.7947 Å
α = 90.00°, β = 90.00°, γ = 90.00°
Space group Pmc2_1 (No. 26)
Asymmetric unit:
B  0.0000  0.1276  0.0000
As  0.0000  0.1694  0.3654
Pd  0.5000  0.4707  0.4155
O  0.5000  0.2008  0.9093



BAsPdO | PBE | optimized geometry

Results
E   -4.889 eV per atom
Volume   117.68 Å³ per cell

a = 3.9503 Å, b = 3.9503 Å, c = 7.5411 Å
α = 90.00°, β = 90.00°, γ = 90.00°
Space group P4/nmm (No. 129, origin choice 2)
Asymmetric unit:
B  0.2500  0.7500  0.0000
As  0.2500  0.2500  0.1338
Pd  0.2500  0.2500  0.5740
O  0.2500  0.7500  0.5000